# Ta2AsPb

Crystalline Ta2AsPb at its relaxed geometry (PBE-GGA, Alexandria via LeMat-Bulk).

Summary:
The size of the total moment comes out at 0.00 μB per formula unit. The offset from the most stable computed form is 367 meV/atom. The calculation puts the total energy at -7.6789 eV/atom. Its density of states at the Fermi level is 2.7 states/eV/f.u. For the mass density, the calculation gives 13.62 Mg/m³.

abc: 5.5799 5.5799 5.5799
angles: 143.89 129.09 64.00
Closest atoms and distances in Å follow each position.
Atoms (fractional coordinates):
1 Ta 0.0000 0.0000 0.0000  2 Ta 2.92, 4 As 2.98, 2 Pb 3.02
2 Ta 0.7514 0.2514 0.5000  2 As 2.65, 2 Ta 2.92, 4 Pb 2.96
3 As 0.5397 0.5397 0.0000  2 Ta 2.65
4 Pb 0.2621 0.7621 0.5000  8 Ta 2.96-3.29, 4 As 3.15-3.19